Density functional theory data (PBE-GGA) for K2Na5Tl2In after structural relaxation.

Geometry as extended XYZ:
```
20
Lattice="12.4911 0.0000 0.0000 0.0000 12.4911 0.0000 0.0000 0.0000 4.6461" Properties=species:S:1:pos:R:3 pbc="T T T"
K 2.1840 4.0615 0.0000
K 4.0615 10.3071 0.0000
K 8.4296 2.1840 0.0000
K 10.3071 8.4296 0.0000
Na 0.0000 6.2455 2.3230
Na 0.7656 10.0854 2.3230
Na 2.4057 0.7656 2.3230
Na 3.8399 7.0111 2.3230
Na 5.4799 3.8399 2.3230
Na 6.2455 0.0000 2.3230
Na 7.0111 8.6512 2.3230
Na 8.6512 5.4799 2.3230
Na 10.0854 11.7255 2.3230
Na 11.7255 2.4057 2.3230
Tl 1.5500 7.7955 0.0000
Tl 4.6955 1.5500 0.0000
Tl 7.7955 10.9411 0.0000
Tl 10.9411 4.6955 0.0000
In 0.0000 0.0000 0.0000
In 6.2455 6.2455 0.0000
```

Calculated values
Uncorrected energy = -1.675 eV/atom
Energy of formation from the pure elements = -46.8 kJ/mol of formula units
Volume = 36.25 Å³/atom
Size of the total moment = 0.0 Bohr magnetons per cell

=====

Density functional theory data (PBE-GGA) for MgIr2Br after structural relaxation.

Geometry as extended XYZ:
```
4
Lattice="2.9723 0.0000 0.0000 0.0000 2.9723 0.0000 0.0000 0.0000 7.4168" Properties=species:S:1:pos:R:3 pbc="T T T"
Mg 0.0000 0.0000 0.0000
Ir 1.4862 1.4862 1.8154
Ir 1.4862 1.4862 5.6014
Br 0.0000 0.0000 3.7084
```

Calculated values
Uncorrected energy = -4.704 eV/atom
Formation energy from raw total energies = 0.544 eV per atom
Volume = 16.38 Å³/atom
Size of the total moment = 0.0 Bohr magnetons per cell

=====

Density functional theory data (PBE-GGA) for Fe4AgPd after structural relaxation.

Geometry as extended XYZ:
```
6
Lattice="0.0000 3.4339 3.4339 3.4339 0.0000 3.4339 3.4339 3.4339 0.0000" Properties=species:S:1:pos:R:3 pbc="T T T"
Fe 0.8575 0.8575 0.8575
Fe 2.5764 2.5764 0.8575
Fe 2.5764 0.8575 2.5764
Fe 0.8575 2.5764 2.5764
Ag 5.1509 5.1509 5.1509
Pd 3.4339 3.4339 3.4339
```

Calculated values
Uncorrected energy = -6.822 eV/atom
Energy of formation from the pure elements = 93.2 kJ/mol of formula units
Volume = 13.50 Å³/atom
Size of the total moment = 10.6 Bohr magnetons per cell

=====

Density functional theory data (PBE-GGA) for TmTiZnCd after structural relaxation.

Geometry as extended XYZ:
```
4
Lattice="0.0000 3.4499 3.4499 3.4499 0.0000 3.4499 3.4499 3.4499 0.0000" Properties=species:S:1:pos:R:3 pbc="T T T"
Tm 0.0000 0.0000 0.0000
Ti 3.4499 3.4499 3.4499
Zn 1.7250 1.7250 1.7250
Cd 5.1749 5.1749 5.1749
```

Calculated values
Uncorrected energy = -3.727 eV/atom
Energy of formation from the pure elements = -33.9 kJ/mol of formula units
Volume = 20.53 Å³/atom
Size of the total moment = 1.5 Bohr magnetons per cell

=====

Density functional theory data (PBE-GGA) for Th6Pt2C3S after structural relaxation.

Geometry as extended XYZ:
```
12
Lattice="8.8445 -1.9121 0.0000 8.8445 1.9121 0.0000 -2.5442 0.0000 7.7944" Properties=species:S:1:pos:R:3 pbc="T T T"
Th -0.5116 0.0000 1.7941
Th 4.6379 0.0000 3.3606
Th 3.8695 0.0000 6.9292
Th 11.2753 0.0000 0.8652
Th 10.5069 0.0000 4.4338
Th 15.6563 0.0000 6.0003
Pt 0.9184 0.0000 6.6099
Pt 14.2264 0.0000 1.1845
C 1.9512 0.0000 2.6522
C 8.8445 0.0000 0.0000
C 13.1936 0.0000 5.1423
S 7.5724 0.0000 3.8972
```

Calculated values
Uncorrected energy = -8.198 eV/atom
Formation energy from raw total energies = -0.831 eV per atom
Volume = 21.97 Å³/atom
Size of the total moment = 0.0 Bohr magnetons per cell

=====

Density functional theory data (PBE-GGA) for Nd6SmDy3 after structural relaxation.

Geometry as extended XYZ:
```
20
Lattice="5.5178 -9.6768 0.0000 5.5178 9.6768 0.0000 0.0000 0.0000 6.3925" Properties=species:S:1:pos:R:3 pbc="T T T"
Nd 5.5178 8.9782 3.1962
Nd 2.9339 4.0395 6.3748
Nd 5.5178 4.2457 1.7584
Nd 3.6542 0.7837 1.1275
Nd 3.6542 -0.7837 4.3237
Nd 2.9339 -4.0395 3.1785
Nd 8.1017 4.0395 6.3748
Nd 7.3815 0.7837 1.1275
Nd 7.3815 -0.7837 4.3237
Nd 5.5178 -4.2457 4.9547
Nd 8.1017 -4.0395 3.1785
Nd 5.5178 -8.9782 0.0000
Sm 5.5178 5.9112 4.7170
Sm 5.5178 -5.9112 1.5207
Dy 1.9061 2.2431 3.7641
Dy 1.9061 -2.2431 0.5678
Dy 5.5178 2.2449 4.5557
Dy 5.5178 -2.2449 1.3594
Dy 9.1295 2.2431 3.7641
Dy 9.1295 -2.2431 0.5678
```

Calculated values
Uncorrected energy = -4.573 eV/atom
Energy of formation from the pure elements = 135.1 kJ/mol of formula units
Volume = 34.13 Å³/atom
Size of the total moment = 0.0 Bohr magnetons per cell

=====

Density functional theory data (PBE-GGA) for LaPm4Y after structural relaxation.

Geometry as extended XYZ:
```
6
Lattice="3.6697 0.0000 0.0000 0.0000 5.1371 0.0000 0.0000 0.0000 11.0100" Properties=species:S:1:pos:R:3 pbc="T T T"
La 0.0000 0.0000 0.0000
Pm 0.0000 0.0000 3.6879
Pm 0.0000 0.0000 7.3222
Pm 1.8349 2.5686 1.8804
Pm 1.8349 2.5686 9.1296
Y 1.8349 2.5686 5.5050
```

Calculated values
Uncorrected energy = -5.047 eV/atom
Energy of formation from the pure elements = 10.6 kJ/mol of formula units
Volume = 34.59 Å³/atom
Size of the total moment = 0.0 Bohr magnetons per cell

=====

Density functional theory data (PBE-GGA) for Ac12H5Rh3 after structural relaxation.

Geometry as extended XYZ:
```
80
Lattice="-8.3111 8.3111 8.3111 8.3111 -8.3111 8.3111 8.3111 8.3111 -8.3111" Properties=species:S:1:pos:R:3 pbc="T T T"
Ac 2.5705 -0.5544 1.0596
Ac 9.8962 5.2152 -4.7100
Ac 7.7567 -1.0596 2.5705
Ac 13.0211 -1.5851 3.0959
Ac 10.8816 0.5544 1.0596
Ac 9.8962 -3.0959 4.7100
Ac 1.0596 2.5705 -0.5544
Ac 11.4070 3.6012 -1.5851
Ac 5.2152 4.7100 -1.5851
Ac 7.2515 2.5705 0.5544
Ac -0.5544 1.0596 2.5705
Ac 4.7100 -1.5851 5.2152
Ac 7.7567 7.2515 -2.5705
Ac 4.7100 1.5851 3.0959
Ac 7.2515 -2.5705 7.7567
Ac 5.2152 -4.7100 9.8962
Ac 3.0959 4.7100 1.5851
Ac 9.3708 5.7407 0.5544
Ac 2.5705 7.7567 -1.0596
Ac 9.8962 3.0959 3.6012
Ac 4.7100 9.8962 -3.0959
Ac 7.7567 1.0596 5.7407
Ac 1.5851 3.0959 4.7100
Ac 2.5705 0.5544 7.2515
Ac 5.7407 7.7567 1.0596
Ac 6.7260 5.2152 3.6012
Ac 0.5544 7.2515 2.5705
Ac 3.6012 -1.5851 11.4070
Ac -1.5851 5.2152 4.7100
Ac 5.7407 0.5544 9.3708
Ac -1.0596 2.5705 7.7567
Ac 5.2152 3.6012 6.7260
Ac 3.0959 13.0211 -1.5851
Ac 1.0596 10.8816 0.5544
Ac 3.6012 6.7260 5.2152
Ac 0.5544 1.0596 10.8816
Ac 3.6012 9.8962 3.0959
Ac 8.8655 7.2515 5.7407
Ac 1.0596 5.7407 7.7567
Ac 3.0959 3.6012 9.8962
Ac -3.0959 4.7100 9.8962
Ac 7.2515 5.7407 8.8655
Ac -1.5851 11.4070 3.6012
Ac -2.5705 7.7567 7.2515
Ac -4.7100 9.8962 5.2152
Ac 0.5544 9.3708 5.7407
Ac -1.5851 3.0959 13.0211
Ac 5.7407 8.8655 7.2515
H 0.0000 0.0000 0.0000
H 4.1556 4.1556 -4.1556
H 4.1556 -4.1556 4.1556
H 8.3111 0.0000 0.0000
H 12.4667 2.0778 0.0000
H 8.3111 -4.1556 6.2333
H 6.2333 8.3111 -4.1556
H 6.2333 0.0000 4.1556
H 4.1556 6.2333 0.0000
H 8.3111 4.1556 2.0778
H -4.1556 4.1556 4.1556
H 0.0000 8.3111 0.0000
H 0.0000 0.0000 8.3111
H 4.1556 4.1556 4.1556
H 0.0000 4.1556 6.2333
H 4.1556 2.0778 8.3111
H 2.0778 8.3111 4.1556
H 2.0778 0.0000 12.4667
H 0.0000 12.4667 2.0778
H -4.1556 6.2333 8.3111
Rh 4.1556 2.0778 0.0000
Rh 8.3111 4.1556 -2.0778
Rh 2.0778 0.0000 4.1556
Rh 10.3889 0.0000 4.1556
Rh 0.0000 4.1556 2.0778
Rh 4.1556 -2.0778 8.3111
Rh 4.1556 10.3889 0.0000
Rh 8.3111 4.1556 6.2333
Rh -2.0778 8.3111 4.1556
Rh 6.2333 8.3111 4.1556
Rh 0.0000 4.1556 10.3889
Rh 4.1556 6.2333 8.3111
```

Calculated values
Uncorrected energy = -4.717 eV/atom
Volume = 28.70 Å³/atom
Size of the total moment = 0.0 Bohr magnetons per cell

=====

Density functional theory data (PBE-GGA) for Nd8DyBi6 after structural relaxation.

Geometry as extended XYZ:
```
15
Lattice="4.1679 2.4063 8.8028 -4.1679 2.4063 8.8028 0.0000 -4.8126 8.8028" Properties=species:S:1:pos:R:3 pbc="T T T"
Nd -2.8284 -0.0161 9.9830
Nd 0.0000 0.0000 4.4064
Nd -1.4003 -2.4575 16.4254
Nd 1.4281 -2.4414 9.9830
Nd -1.4281 2.4414 16.4254
Nd 1.4003 2.4575 9.9830
Nd 0.0000 0.0000 22.0020
Nd 2.8284 0.0161 16.4254
Dy 0.0000 0.0000 13.2042
Bi -1.3508 -2.3618 11.4707
Bi -2.7208 -0.0110 14.9377
Bi -1.3699 2.3507 11.4707
Bi 1.3700 -2.3507 14.9377
Bi 2.7208 0.0111 11.4707
Bi 1.3508 2.3618 14.9377
```

Calculated values
Uncorrected energy = -4.991 eV/atom
Energy of formation from the pure elements = -852.6 kJ/mol of formula units
Volume = 35.31 Å³/atom
Size of the total moment = 0.0 Bohr magnetons per cell

=====

Density functional theory data (PBE-GGA) for ScReBr after structural relaxation.

Geometry as extended XYZ:
```
3
Lattice="-1.5017 1.5017 7.2266 1.5017 -1.5017 7.2266 1.5017 1.5017 -7.2266" Properties=species:S:1:pos:R:3 pbc="T T T"
Sc 0.0000 0.0000 0.0000
Re 0.0000 0.0000 5.2958
Br 0.0000 0.0000 9.1033
```

Calculated values
Uncorrected energy = -6.512 eV/atom
Formation energy from raw total energies = 0.305 eV per atom
Volume = 21.73 Å³/atom
Size of the total moment = 0.0 Bohr magnetons per cell

=====

Density functional theory data (PBE-GGA) for LiIrS after structural relaxation.

Geometry as extended XYZ:
```
6
Lattice="11.8924 0.0000 0.0000 0.0000 1.4114 2.5608 0.0000 -1.4114 2.5608" Properties=species:S:1:pos:R:3 pbc="T T T"
Li 2.0829 0.0000 0.0000
Li 9.8095 0.0000 0.0000
Ir 0.0000 0.0000 1.6407
Ir 5.9462 0.0000 0.2562
S 4.0449 0.0000 1.7249
S 7.8475 0.0000 1.7249
```

Calculated values
Uncorrected energy = -4.878 eV/atom
Formation energy from raw total energies = 0.090 eV per atom
Volume = 14.33 Å³/atom
Size of the total moment = 0.0 Bohr magnetons per cell

=====

Density functional theory data (PBE-GGA) for Cd5Bi6Cl12O8 after structural relaxation.

Geometry as extended XYZ:
```
31
Lattice="-2.7766 5.5351 10.7767 2.7766 -5.5351 10.7767 2.7766 5.5351 -10.7767" Properties=species:S:1:pos:R:3 pbc="T T T"
Cd 0.0000 0.0000 0.0000
Cd 2.7766 0.0000 4.1787
Cd 2.7766 2.9754 0.0000
Cd 0.0000 2.5597 10.7767
Cd 0.0000 5.5351 6.5980
Bi 2.7766 -2.7156 6.6107
Bi 0.0000 0.0000 6.5715
Bi 0.0000 2.8195 4.1660
Bi 2.7766 2.7156 6.6107
Bi 0.0000 0.0000 14.9819
Bi 0.0000 8.2506 4.1660
Cl 2.7766 0.0000 0.0000
Cl 2.7766 2.5670 -2.5640
Cl 0.0000 0.0000 2.6680
Cl 0.0000 2.5894 0.0000
Cl 2.7766 2.5670 2.5640
Cl 2.7766 0.0000 8.0245
Cl 0.0000 0.0000 10.7767
Cl 0.0000 5.5351 2.7522
Cl 0.0000 2.9681 8.2127
Cl 0.0000 8.4808 0.0000
Cl 0.0000 0.0000 18.8854
Cl 0.0000 2.9681 13.3407
O 1.4235 4.1186 -5.3879
O 1.3531 -1.4165 5.3888
O 1.4235 6.9516 -5.3879
O 1.3531 1.4165 5.3888
O 1.4235 4.1186 5.3879
O 1.3531 -1.4165 16.1646
O 1.4235 6.9516 5.3879
O 1.3531 1.4165 16.1646
```

Calculated values
Uncorrected energy = -4.065 eV/atom
Formation energy from raw total energies = -1.172 eV per atom
Volume = 21.37 Å³/atom
Size of the total moment = 0.0 Bohr magnetons per cell